PBE with a Hubbard U Tl2WBr4O2, relaxed; VASP energy = -36.5 eV per formula unit; total magnetic moment = 0.00 μB per cell
1.0
6.082 -3.765 0.000
6.082 3.765 0.000
-4.234 0.000 6.057
Tl W Br O
2 1 4 2
Cartesian
2.255 0.000 0.845
5.674 0.000 5.212
6.082 0.000 0.000
2.521 1.825 4.355
5.409 1.825 1.702
2.521 -1.825 4.355
5.409 -1.825 1.702
0.121 0.000 5.430
7.809 0.000 0.627